# Mn2CdAs2

A geometry-optimized Mn2CdAs2 structure (PBE, Alexandria).

Properties
**Density of states at the Fermi level**: 0.54 states/eV/atom
**M_tot**: 5.9 μB/f.u.
**Calculated total energy**: -56.73 eV/cell
**Calculated formation energy**: 0.038 eV/atom

Cell: 7.2190 7.2190 3.2356 Å, 90.00 90.00 90.00°
Fractional coordinates of all 10 atoms:
Mn 0.1281 0.3719 0.0000
Mn 0.3719 0.8719 0.0000
Mn 0.6281 0.1281 0.0000
Mn 0.8719 0.6281 0.0000
Cd 0.0000 0.0000 0.0000
Cd 0.5000 0.5000 0.0000
As 0.1559 0.6559 0.5000
As 0.3441 0.1559 0.5000
As 0.6559 0.8441 0.5000
As 0.8441 0.3441 0.5000



# MnCdAs2

A geometry-optimized MnCdAs2 structure (PBE, Alexandria).

Properties
**Density of states at the Fermi level**: 0.63 states/eV/atom
**M_tot**: 3.8 μB/f.u.
**Calculated total energy**: -70.90 eV/cell
**Calculated formation energy**: 0.415 eV/atom

Cell: 6.7690 6.7690 6.7690 Å, 90.00 90.00 90.00°
Fractional coordinates of all 16 atoms:
Mn 0.0000 0.0000 0.0000
Mn 0.0000 0.5000 0.5000
Mn 0.5000 0.0000 0.5000
Mn 0.5000 0.5000 0.0000
Cd 0.2500 0.2500 0.7500
Cd 0.2500 0.7500 0.2500
Cd 0.7500 0.2500 0.2500
Cd 0.7500 0.7500 0.7500
As 0.0000 0.0000 0.5000
As 0.0000 0.5000 0.0000
As 0.2500 0.2500 0.2500
As 0.2500 0.7500 0.7500
As 0.5000 0.0000 0.0000
As 0.5000 0.5000 0.5000
As 0.7500 0.2500 0.7500
As 0.7500 0.7500 0.2500



# MnCdAs2

A geometry-optimized MnCdAs2 structure (PBE, Alexandria).

Properties
**Density of states at the Fermi level**: 0.81 states/eV/atom
**M_tot**: 0.0 μB/f.u.
**Calculated total energy**: -74.22 eV/cell
**Calculated formation energy**: 0.207 eV/atom

Cell: 5.8647 5.8647 10.9574 Å, 90.00 90.00 90.00°
Fractional coordinates of all 16 atoms:
Mn 0.0000 0.0000 0.0000
Mn 0.0000 0.5000 0.2500
Mn 0.5000 0.0000 0.7500
Mn 0.5000 0.5000 0.5000
Cd 0.0000 0.0000 0.5000
Cd 0.0000 0.5000 0.7500
Cd 0.5000 0.0000 0.2500
Cd 0.5000 0.5000 0.0000
As 0.1801 0.2500 0.1250
As 0.2500 0.6801 0.3750
As 0.2500 0.8199 0.8750
As 0.3199 0.2500 0.6250
As 0.6801 0.7500 0.6250
As 0.7500 0.1801 0.8750
As 0.7500 0.3199 0.3750
As 0.8199 0.7500 0.1250



# MnCdAs2

A geometry-optimized MnCdAs2 structure (PBE, Alexandria).

Properties
**Density of states at the Fermi level**: 0.46 states/eV/atom
**M_tot**: 3.2 μB/f.u.
**Calculated total energy**: -18.61 eV/cell
**Calculated formation energy**: 0.194 eV/atom

Cell: 2.8929 2.8929 9.1844 Å, 90.00 90.00 90.00°
Fractional coordinates of all 4 atoms:
Mn 0.0000 0.0000 0.0000
Cd 0.5000 0.5000 0.7698
As 0.0000 0.0000 0.5200
As 0.5000 0.5000 0.1824